No. 1
VASP calculation (PBE) on a relaxed structure of SrCo2I.

Structure (POSCAR):
```
SrCo2I
1.0
6.822 0.000 0.000
0.000 6.822 0.000
0.000 0.000 6.822
Sr Co I
4 8 4
Cartesian
0.000 0.000 0.000
0.000 3.411 3.411
3.411 0.000 3.411
3.411 3.411 0.000
1.706 1.706 1.706
1.706 1.706 5.117
1.706 5.117 1.706
1.706 5.117 5.117
5.117 1.706 1.706
5.117 1.706 5.117
5.117 5.117 1.706
5.117 5.117 5.117
0.000 0.000 3.411
0.000 3.411 0.000
3.411 0.000 0.000
3.411 3.411 3.411
```

Computed properties:
Formation energy without anion corrections in meV per atom: 732.8
Relative energy among the computed polymorphs in eV per formula unit: 1.49

=====

No. 2
VASP calculation (PBE) on a relaxed structure of Fe2AsRu.

Structure (POSCAR):
```
Fe2AsRu
1.0
2.918 0.000 0.000
0.000 4.133 0.000
0.000 0.000 4.406
Fe As Ru
2 1 1
Cartesian
0.000 0.000 0.000
0.000 2.066 1.260
1.459 0.000 2.036
1.459 2.066 3.485
```

=====

No. 3
VASP calculation (PBE) on a relaxed structure of MgBeTl.

Structure (POSCAR):
```
MgBeTl
1.0
3.573 0.000 0.000
0.000 4.051 0.000
0.000 0.000 8.092
Mg Be Tl
2 2 2
Cartesian
0.000 0.000 0.000
1.787 2.026 4.046
0.000 0.000 2.664
1.787 2.026 6.710
0.000 0.000 5.357
1.787 2.026 1.311
```

Computed properties:
Relative energy among the computed polymorphs in eV per formula unit: 0.84

=====

No. 4
VASP calculation (PBE) on a relaxed structure of LaPaSeN2.

Structure (POSCAR):
```
LaPaSeN2
1.0
3.949 0.000 0.000
0.000 3.949 0.000
0.000 0.000 12.637
La Pa Se N
2 2 2 4
Cartesian
0.000 0.000 0.000
1.975 1.975 6.318
0.000 0.000 3.947
1.975 1.975 10.265
0.000 0.000 8.298
1.975 1.975 1.980
0.000 1.975 4.915
0.000 1.975 11.233
1.975 0.000 4.915
1.975 0.000 11.233
```

Computed properties:
Formation energy without anion corrections in meV per atom: -1796.9

=====

No. 5
VASP calculation (PBE) on a relaxed structure of Ac2BeGe4Ir3.

Structure (POSCAR):
```
Ac2BeGe4Ir3
1.0
4.393 0.000 0.000
0.000 4.393 0.000
0.000 0.000 10.203
Ac Be Ge Ir
2 1 4 3
Cartesian
0.000 2.197 2.536
2.197 0.000 7.667
2.197 2.197 0.000
0.000 0.000 5.101
0.000 2.197 8.916
2.197 0.000 1.287
2.197 2.197 5.101
0.000 0.000 0.000
0.000 2.197 6.374
2.197 0.000 3.829
```

=====

No. 6
VASP calculation (PBE) on a relaxed structure of RePd2Pt4.

Structure (POSCAR):
```
RePd2Pt4
1.0
1.368 -8.673 0.000
1.368 8.673 0.000
0.000 0.000 9.853
Re Pd Pt
2 4 8
Cartesian
1.368 6.473 7.390
1.368 -6.473 2.463
1.368 2.278 5.961
1.368 2.278 8.819
1.368 -2.278 1.035
1.368 -2.278 3.892
0.000 0.000 0.000
0.000 0.000 4.927
1.368 3.955 1.112
1.368 3.955 3.814
1.368 -0.001 2.463
1.368 0.001 7.390
1.368 -3.955 6.039
1.368 -3.955 8.741
```

=====

No. 7
VASP calculation (PBE) on a relaxed structure of U2AlSi3Ni4.

Structure (POSCAR):
```
U2AlSi3Ni4
1.0
3.938 0.000 0.000
0.000 3.938 0.000
0.000 0.000 9.703
U Al Si Ni
2 1 3 4
Cartesian
0.000 1.969 2.359
1.969 0.000 7.344
0.000 0.000 4.852
0.000 1.969 8.461
1.969 0.000 1.242
1.969 1.969 4.852
0.000 0.000 0.000
0.000 1.969 6.187
1.969 0.000 3.517
1.969 1.969 0.000
```

Computed properties:
Formation energy without anion corrections in meV per atom: -558.8

=====

No. 8
VASP calculation (PBE) on a relaxed structure of Ta2OsO.

Structure (POSCAR):
```
Ta2OsO
1.0
5.131 0.000 0.000
0.000 5.131 0.000
0.000 0.000 10.787
Ta Os O
8 4 4
Cartesian
0.875 1.283 1.348
1.283 3.440 4.045
1.283 4.256 9.438
1.690 1.283 6.742
3.440 3.848 6.742
3.848 0.875 9.438
3.848 1.690 4.045
4.256 3.848 1.348
0.000 0.000 5.393
0.000 2.565 8.090
2.565 0.000 2.697
2.565 2.565 0.000
0.000 0.000 0.000
0.000 2.565 2.697
2.565 0.000 8.090
2.565 2.565 5.393
```

Computed properties:
Formation energy without anion corrections in meV per atom: -443.3

=====

| no. | N(E_F) (states/eV/cell) | E (eV per atom) |
| --- | --- | --- |
| 1 | 10.90 | -3.628 |
| 2 | 3.51 | -7.624 |
| 3 | 2.10 | -2.107 |
| 4 | 0.00 | -8.709 |
| 5 | 8.00 | -6.299 |
| 6 | 15.69 | -6.548 |
| 7 | 16.89 | -7.130 |
| 8 | 5.23 | -10.417 |